Material: CsLaI3
Method: DFT, GGA-PBE
State: relaxed

Results
Fermi-level density of states = 0.5 states/eV/f.u.
energy relative to the lowest polymorph listed for this composition = 0 meV/atom

Structure (CIF):
```
data_CsLaI3
_cell_length_a 10.8118
_cell_length_b 4.5378
_cell_length_c 18.7459
_cell_angle_alpha 90.00
_cell_angle_beta 90.00
_cell_angle_gamma 90.00
_symmetry_space_group_name_H-M 'P n m a'
_symmetry_Int_Tables_number 62
loop_
_symmetry_equiv_pos_as_xyz
'x,y,z'
'-x,-y,-z'
'-x+1/2,-y,z+1/2'
'x+1/2,y,-z+1/2'
'x+1/2,-y+1/2,-z+1/2'
'-x+1/2,y+1/2,z+1/2'
'-x,y+1/2,-z'
'x,-y+1/2,z'
loop_
_atom_site_label
_atom_site_type_symbol
_atom_site_fract_x
_atom_site_fract_y
_atom_site_fract_z
Cs1 Cs 0.0618 0.2500 0.1726
La1 La 0.1279 0.7500 0.4533
I1 I 0.0531 0.7500 0.6226
I2 I 0.1690 0.7500 0.0023
I3 I 0.2334 0.2500 0.7994
```

***

Material: InSbBr2
Method: DFT, GGA-PBE
State: relaxed

Results
Fermi-level density of states = 3.9 states/eV/f.u.
energy relative to the lowest polymorph listed for this composition = 355 meV/atom

Structure (CIF):
```
data_InSbBr2
_cell_length_a 4.9903
_cell_length_b 4.9903
_cell_length_c 9.0896
_cell_angle_alpha 90.00
_cell_angle_beta 90.00
_cell_angle_gamma 90.00
_symmetry_space_group_name_H-M 'I 4/m m m'
_symmetry_Int_Tables_number 139
_symmetry_space_group_name_Hall '-I 4 2'
loop_
_atom_site_label
_atom_site_type_symbol
_atom_site_fract_x
_atom_site_fract_y
_atom_site_fract_z
In1 In 0.0000 0.0000 0.0000
Sb1 Sb 0.0000 0.0000 0.5000
Br1 Br 0.0000 0.5000 0.2500
```

***

Material: LiMnPd6
Method: DFT, GGA-PBE
State: relaxed

Results
calculated formation energy = 0.227 eV per atom
Fermi-level density of states = 4.2 states/eV/f.u.
energy relative to the lowest polymorph listed for this composition = 465 meV/atom

Structure (CIF):
```
data_LiMnPd6
_cell_length_a 7.0917
_cell_length_b 7.0917
_cell_length_c 9.6165
_cell_angle_alpha 90.00
_cell_angle_beta 90.00
_cell_angle_gamma 120.00
_symmetry_space_group_name_H-M 'R -3 m'
_symmetry_Int_Tables_number 166
_symmetry_space_group_name_Hall '-R 3 2"'
loop_
_atom_site_label
_atom_site_type_symbol
_atom_site_fract_x
_atom_site_fract_y
_atom_site_fract_z
Li1 Li 0.0000 0.0000 0.0000
Mn1 Mn 0.0000 0.0000 0.5000
Pd1 Pd 0.0791 0.5395 0.3744
```

***

Please write out number 1 again, unchanged.
Material: CsLaI3
Method: DFT, GGA-PBE
State: relaxed

Results
Fermi-level density of states = 0.5 states/eV/f.u.
energy relative to the lowest polymorph listed for this composition = 0 meV/atom

Structure (CIF):
```
data_CsLaI3
_cell_length_a 10.8118
_cell_length_b 4.5378
_cell_length_c 18.7459
_cell_angle_alpha 90.00
_cell_angle_beta 90.00
_cell_angle_gamma 90.00
_symmetry_space_group_name_H-M 'P n m a'
_symmetry_Int_Tables_number 62
loop_
_symmetry_equiv_pos_as_xyz
'x,y,z'
'-x,-y,-z'
'-x+1/2,-y,z+1/2'
'x+1/2,y,-z+1/2'
'x+1/2,-y+1/2,-z+1/2'
'-x+1/2,y+1/2,z+1/2'
'-x,y+1/2,-z'
'x,-y+1/2,z'
loop_
_atom_site_label
_atom_site_type_symbol
_atom_site_fract_x
_atom_site_fract_y
_atom_site_fract_z
Cs1 Cs 0.0618 0.2500 0.1726
La1 La 0.1279 0.7500 0.4533
I1 I 0.0531 0.7500 0.6226
I2 I 0.1690 0.7500 0.0023
I3 I 0.2334 0.2500 0.7994
```